Y3Cd7Ag2 | PBE-GGA | optimized geometry

E in eV per atom: -2.846
Volume in Å³/f.u.: 280.4
Energy of formation in eV/atom: -0.2211
Spin magnetization in μB per formula unit: 0.0

Cell lengths 9.9961, 9.9961, 9.9961 Å; angles 34.14, 34.14, 34.14 degrees
Closest atoms and distances in Å follow each position.
Positions (direct):
Y (0.0000, 0.0000, 0.0000)  6 Ag 3.39, 12 Cd 3.75
Y (0.1420, 0.1420, 0.1420)  12 Cd 3.37-3.48, 3 Y 3.66
Y (0.8580, 0.8580, 0.8580)  12 Cd 3.37-3.48, 3 Y 3.66
Cd (0.0766, 0.5861, 0.5861)  5 Cd 2.88-2.99, 2 Ag 2.88-2.90
Cd (0.4139, 0.4139, 0.9234)  5 Cd 2.88-2.99, 2 Ag 2.88-2.90
Cd (0.4139, 0.9234, 0.4139)  5 Cd 2.88-2.99, 2 Ag 2.88-2.90
Cd (0.5000, 0.5000, 0.5000)  6 Cd 2.93
Cd (0.5861, 0.0766, 0.5861)  5 Cd 2.88-2.99, 2 Ag 2.88-2.90
Cd (0.5861, 0.5861, 0.0766)  5 Cd 2.88-2.99, 2 Ag 2.88-2.90
Cd (0.9234, 0.4139, 0.4139)  5 Cd 2.88-2.99, 2 Ag 2.88-2.90
Ag (0.3346, 0.3346, 0.3346)  6 Cd 2.88-2.90
Ag (0.6654, 0.6654, 0.6654)  6 Cd 2.88-2.90


LiV2Cr | PBE-GGA | optimized geometry

Polymorph energy (0 for the lowest one) in meV per atom: 451
E in eV per atom: -6.679
Volume in Å³/f.u.: 55.6
Energy of formation in eV/atom: 0.7644
Spin magnetization in μB per formula unit: 1.0

Cell lengths 9.3152, 9.3152, 9.3152 Å; angles 158.21, 158.21, 31.01 degrees
Closest atoms and distances in Å follow each position.
Positions (direct):
Li (0.0000, 0.0000, 0.0000)  4 Cr 2.49, 4 V 2.58
Li (0.7500, 0.2500, 0.5000)  4 Cr 2.49, 4 V 2.58
V (0.1374, 0.1250, 0.5124)  4 V 2.43-2.55, 2 Cr 2.55, 2 Li 2.58
V (0.3750, 0.8626, 0.9876)  4 V 2.43-2.55, 2 Cr 2.55, 2 Li 2.58
V (0.6126, 0.6250, 0.4876)  4 V 2.43-2.55, 2 Cr 2.55, 2 Li 2.58
V (0.8750, 0.3874, 0.0124)  4 V 2.43-2.55, 2 Cr 2.55, 2 Li 2.58
Cr (0.2500, 0.7500, 0.5000)  4 Li 2.49, 4 V 2.55
Cr (0.5000, 0.5000, 0.0000)  4 Li 2.49, 4 V 2.55


SrTm2Rh3 | PBE-GGA | optimized geometry

E in eV per atom: -6.156
Volume in Å³/f.u.: 123.9
Energy of formation in eV/atom: -0.7098
Spin magnetization in μB per formula unit: 0.0

Cell lengths 3.3965, 3.3965, 10.7431 Å; angles 90.00, 90.00, 90.00 degrees
Closest atoms and distances in Å follow each position.
Positions (direct):
Sr (0.0000, 0.0000, 0.0000)  8 Rh 3.21, 4 Sr 3.40
Tm (0.0000, 0.0000, 0.3399)  8 Rh 2.84-2.95
Tm (0.0000, 0.0000, 0.6601)  8 Rh 2.84-2.95
Rh (0.5000, 0.5000, 0.1986)  4 Tm 2.84
Rh (0.5000, 0.5000, 0.5000)  8 Tm 2.95, 2 Rh 3.24
Rh (0.5000, 0.5000, 0.8014)  4 Tm 2.84


Pm4Mg5Pb6 | PBE-GGA | optimized geometry

E in eV per atom: -3.654
Volume in Å³/f.u.: 428.2
Energy of formation in eV/atom: -0.3726
Spin magnetization in μB per formula unit: 0.0

Cell lengths 10.8458, 10.8458, 16.9280 Å; angles 90.00, 90.00, 154.52 degrees
Closest atoms and distances in Å follow each position.
Positions (direct):
Pm (0.0192, 0.9808, 0.5000)  7 Pb 3.36-3.55, 3 Mg 3.58-3.70
Pm (0.0330, 0.9670, 0.7670)  6 Pb 3.41-3.60, 5 Mg 3.43-3.56
Pm (0.1627, 0.8373, 0.3013)  6 Pb 3.26-3.34
Pm (0.1741, 0.8259, 0.9426)  6 Pb 3.20-3.25
Pm (0.8259, 0.1741, 0.4426)  6 Pb 3.20-3.25
Pm (0.8373, 0.1627, 0.8013)  6 Pb 3.26-3.34
Pm (0.9670, 0.0330, 0.2670)  6 Pb 3.41-3.60, 5 Mg 3.43-3.56
Pm (0.9808, 0.0192, 0.0000)  7 Pb 3.36-3.55, 3 Mg 3.58-3.70
Mg (0.1543, 0.8457, 0.6274)  4 Pb 2.96-3.01, 1 Mg 3.16
Mg (0.3035, 0.6965, 0.6200)  4 Pb 2.91-3.02, 2 Mg 3.04-3.16
Mg (0.3425, 0.6575, 0.2735)  4 Pb 2.91-3.08
Mg (0.3479, 0.6521, 0.9860)  4 Pb 2.88-3.02
Mg (0.4378, 0.5622, 0.6834)  4 Pb 2.84-2.90, 1 Mg 3.04
Mg (0.5622, 0.4378, 0.1834)  4 Pb 2.84-2.90, 1 Mg 3.04
Mg (0.6521, 0.3479, 0.4860)  4 Pb 2.88-3.02
Mg (0.6575, 0.3425, 0.7735)  4 Pb 2.91-3.08
Mg (0.6965, 0.3035, 0.1200)  4 Pb 2.91-3.02, 2 Mg 3.04-3.16
Mg (0.8457, 0.1543, 0.1274)  4 Pb 2.96-3.01, 1 Mg 3.16
Pb (0.1097, 0.8903, 0.1156)  4 Mg 2.84-3.02
Pb (0.2273, 0.7727, 0.4762)  4 Mg 2.88-2.99
Pb (0.2356, 0.7644, 0.7697)  4 Mg 2.91-2.96, 1 Pm 3.20
Pb (0.4277, 0.5723, 0.4178)  1 Pb 3.04, 1 Mg 3.04, 4 Pm 3.25-3.38
Pb (0.4322, 0.5678, 0.1302)  5 Mg 2.89-3.08
Pb (0.4379, 0.5621, 0.8549)  2 Mg 2.90-2.92, 1 Pb 3.04
Pb (0.5621, 0.4379, 0.3549)  2 Mg 2.90-2.92, 1 Pb 3.04
Pb (0.5678, 0.4322, 0.6302)  5 Mg 2.89-3.08
Pb (0.5723, 0.4277, 0.9178)  1 Pb 3.04, 1 Mg 3.04, 4 Pm 3.25-3.38
Pb (0.7644, 0.2356, 0.2697)  4 Mg 2.91-2.96, 1 Pm 3.20
Pb (0.7727, 0.2273, 0.9762)  4 Mg 2.88-2.99
Pb (0.8903, 0.1097, 0.6156)  4 Mg 2.84-3.02


Y2ErCu4 | PBE-GGA | optimized geometry

E in eV per atom: -4.858
Volume in Å³/f.u.: 149.2
Energy of formation in eV/atom: -0.0182
Spin magnetization in μB per formula unit: 0.0

Cell lengths 6.8107, 6.8107, 6.8107 Å; angles 136.24, 136.24, 63.61 degrees
Closest atoms and distances in Å follow each position.
Positions (direct):
Y (0.2122, 0.2122, 0.0000)  4 Cu 2.78
Y (0.7878, 0.7878, 0.0000)  4 Cu 2.78
Er (0.5000, 0.5000, 0.0000)  8 Cu 2.86
Cu (0.1135, 0.6135, 0.5000)  1 Cu 2.63, 2 Y 2.78, 2 Er 2.86
Cu (0.3865, 0.8865, 0.5000)  1 Cu 2.63, 2 Y 2.78, 2 Er 2.86
Cu (0.6135, 0.1135, 0.5000)  1 Cu 2.63, 2 Y 2.78, 2 Er 2.86
Cu (0.8865, 0.3865, 0.5000)  1 Cu 2.63, 2 Y 2.78, 2 Er 2.86


Li4Tb5Tl4 | PBE-GGA | optimized geometry

E in eV per atom: -3.347
Volume in Å³/f.u.: 331.8
Energy of formation in eV/atom: -0.2494
Spin magnetization in μB per formula unit: 0.0

Cell lengths 8.7885, 8.7885, 8.7885 Å; angles 93.95, 93.95, 149.56 degrees
Closest atoms and distances in Å follow each position.
Positions (direct):
Li (0.0711, 0.6028, 0.6739)  3 Tl 2.85-2.86, 5 Li 3.00-3.13
Li (0.3972, 0.0711, 0.4683)  3 Tl 2.85-2.86, 5 Li 3.00-3.13
Li (0.6028, 0.9289, 0.5317)  3 Tl 2.85-2.86, 5 Li 3.00-3.13
Li (0.9289, 0.3972, 0.3261)  3 Tl 2.85-2.86, 5 Li 3.00-3.13
Tb (0.1266, 0.2028, 0.3293)  5 Tl 3.17-3.28, 1 Li 3.33
Tb (0.2028, 0.8734, 0.0762)  5 Tl 3.17-3.28, 1 Li 3.33
Tb (0.5000, 0.5000, 0.0000)  4 Tl 3.16
Tb (0.7972, 0.1266, 0.9238)  5 Tl 3.17-3.28, 1 Li 3.33
Tb (0.8734, 0.7972, 0.6707)  5 Tl 3.17-3.28, 1 Li 3.33
Tl (0.2438, 0.4401, 0.6838)  3 Li 2.85-2.86, 2 Tb 3.16-3.17
Tl (0.4401, 0.7562, 0.1963)  3 Li 2.85-2.86, 2 Tb 3.16-3.17
Tl (0.5599, 0.2438, 0.8037)  3 Li 2.85-2.86, 2 Tb 3.16-3.17
Tl (0.7562, 0.5599, 0.3162)  3 Li 2.85-2.86, 2 Tb 3.16-3.17


RbCrP | PBE-GGA | optimized geometry

Polymorph energy (0 for the lowest one) in meV per atom: 2
E in eV per atom: -5.605
Volume in Å³/f.u.: 81.0
Energy of formation in eV/atom: -0.2715
Spin magnetization in μB per formula unit: 0.2

Cell lengths 3.6648, 3.6648, 12.0675 Å; angles 90.00, 90.00, 90.00 degrees
Closest atoms and distances in Å follow each position.
Positions (direct):
Rb (0.2500, 0.2500, 0.2083)  4 P 3.30, 4 Rb 3.66
Rb (0.7500, 0.7500, 0.7917)  4 P 3.30, 4 Rb 3.66
Cr (0.2500, 0.7500, 0.5000)  4 P 2.36, 4 Cr 2.59
Cr (0.7500, 0.2500, 0.5000)  4 P 2.36, 4 Cr 2.59
P (0.2500, 0.2500, 0.6229)  4 Cr 2.36
P (0.7500, 0.7500, 0.3771)  4 Cr 2.36


TiTe3C | PBE-GGA | optimized geometry

Formation energy from raw total energies in eV per atom: 1.275
Polymorph energy (0 for the lowest one) in meV per atom: 390
E in eV per atom: -4.033
Volume in Å³/f.u.: 147.9
Spin magnetization in μB per formula unit: 1.2

Cell lengths 5.2890, 5.2890, 5.2890 Å; angles 90.00, 90.00, 90.00 degrees
Closest atoms and distances in Å follow each position.
Positions (direct):
Ti (0.0000, 0.0000, 0.0000)  6 Te 2.64
Te (0.0000, 0.0000, 0.5000)  2 Ti 2.64
Te (0.0000, 0.5000, 0.0000)  2 Ti 2.64
Te (0.5000, 0.0000, 0.0000)  2 Ti 2.64
C (0.5000, 0.5000, 0.5000)  12 Te 3.74


- Which value of E does entry 5 give?
  -4.858 eV per atom


- Which formula does entry 5 have?
  Y2ErCu4